CaBeZn4: optimized geometry, PBE.

a b c (Å): 5.243 5.243 5.243
angles (deg): 60.00 60.00 60.00
Atoms (fractional coordinates):
1 Be 0.750 0.750 0.750
2 Zn 0.375 0.375 0.375
3 Zn 0.375 0.874 0.375
4 Zn 0.874 0.375 0.375
5 Ca 0.000 0.000 0.000
6 Zn 0.375 0.375 0.874

## Properties
For the formation enthalpy at 0 K, the calculation gives 60 kJ/mol of formula units. The size of the total moment comes out at 0.0 μB per formula unit.


BaBe3Hg: optimized geometry, PBE.

a b c (Å): 4.673 4.673 4.673
angles (deg): 90.00 90.00 90.00
Atoms (fractional coordinates):
1 Be 0.000 0.500 0.000
2 Ba 0.500 0.500 0.500
3 Be 0.500 0.000 0.000
4 Hg 0.000 0.000 0.000
5 Be 0.000 0.000 0.500

## Properties
For the formation enthalpy at 0 K, the calculation gives 265 kJ/mol of formula units. The size of the total moment comes out at 0.0 μB per formula unit.


CeZnCdPt: optimized geometry, PBE.

a b c (Å): 4.878 4.878 4.878
angles (deg): 60.00 60.00 60.00
Atoms (fractional coordinates):
1 Cd 0.500 0.500 0.500
2 Zn 0.250 0.250 0.250
3 Pt 0.750 0.750 0.750
4 Ce 0.000 0.000 0.000

## Properties
For the formation enthalpy at 0 K, the calculation gives -202 kJ/mol of formula units. The size of the total moment comes out at 0.0 μB per formula unit.


CsCo3Ir: optimized geometry, PBE.

a b c (Å): 4.829 4.829 4.829
angles (deg): 90.00 90.00 90.00
Atoms (fractional coordinates):
1 Ir 0.000 0.000 0.000
2 Co 0.000 0.500 0.000
3 Co 0.000 0.000 0.500
4 Co 0.500 0.000 0.000
5 Cs 0.500 0.500 0.500

## Properties
For the formation enthalpy at 0 K, the calculation gives 589 kJ/mol of formula units. The size of the total moment comes out at 6.7 μB per formula unit.


KNa2IF: optimized geometry, PBE.

a b c (Å): 4.826 4.826 6.785
angles (deg): 90.00 90.00 90.00
Atoms (fractional coordinates):
1 I 0.500 0.500 0.500
2 Na 0.000 0.500 0.000
3 F 0.000 0.000 0.000
4 Na 0.500 0.000 0.000
5 K 0.000 0.000 0.500

## Properties
For the uncorrected formation energy, the calculation gives -1440 meV/atom. The size of the total moment comes out at 0.0 μB per formula unit.


LaP3O7: optimized geometry, PBE.

a b c (Å): 6.858 9.651 7.582
angles (deg): 117.10 100.13 93.94
Atoms (fractional coordinates):
1 O 0.547 0.654 0.376
2 P 0.594 0.508 0.203
3 O 0.313 0.910 0.282
4 P 0.135 0.798 0.269
5 La 0.574 0.855 0.722
6 P 0.891 0.054 0.270
7 O 0.687 0.090 0.718
8 O 0.186 0.840 0.530
9 La 0.426 0.145 0.278
10 O 0.701 0.011 0.102
11 P 0.865 0.202 0.731
12 P 0.406 0.492 0.797
13 O 0.066 0.103 0.721
14 P 0.109 0.946 0.730
15 O 0.814 0.160 0.470
16 O 0.515 0.355 0.201
17 O 0.485 0.645 0.799
18 O 0.299 0.989 0.898
19 O 0.453 0.346 0.624
20 O 0.934 0.897 0.279
21 O 0.073 0.142 0.257
22 O 0.927 0.858 0.743

## Properties
For the uncorrected formation energy, the calculation gives -2297 meV/atom. The size of the total moment comes out at 0.0 μB per formula unit.


Q: Which formula does entry 5 have?
A: KNa2IF


Q: What is the formula in the second record?
A: BaBe3Hg


Q: What is the formula in the fifth record?
A: KNa2IF